# Sm9AlSi3S21 (PBE, optimized geometry)
data_Sm9AlSi3S21
_space_group_name_H-M_alt 'R 3'
_space_group_IT_number 146
_space_group_name_Hall 'R 3'
_cell_length_a 17.4208
_cell_length_b 17.4208
_cell_length_c 17.1459
_cell_angle_alpha 90.00
_cell_angle_beta 90.00
_cell_angle_gamma 120.00
loop_
_atom_site_label
_atom_site_fract_x
_atom_site_fract_y
_atom_site_fract_z
_atom_site_occupancy
Sm1 0.0334 0.1876 0.0000 1
Sm2 0.0332 0.1987 0.3396 1
Sm3 0.0362 0.1995 0.6665 1
Sm4 0.1672 0.6977 0.8316 1
Sm5 0.1700 0.7037 0.5071 1
Sm6 0.1797 0.7008 0.1673 1
Al1 0.0000 0.0000 0.2597 1
Al2 0.0000 0.0000 0.7600 1
Si1 0.0008 0.6634 0.9735 1
Si2 0.0032 0.3359 0.8069 1
S1 0.0025 0.3387 0.5964 1
S2 0.0022 0.6737 0.4297 1
S3 0.0180 0.5599 0.9241 1
S4 0.0184 0.5654 0.5905 1
S5 0.0196 0.1274 0.1838 1
S6 0.0257 0.1319 0.8377 1
S7 0.0256 0.1451 0.5082 1
S8 0.0280 0.5711 0.2597 1
S9 0.1211 0.3482 0.0918 1
S10 0.1215 0.3580 0.4254 1
S11 0.1257 0.3586 0.7574 1
S12 0.1286 0.1061 0.6845 1
S13 0.1309 0.1083 0.3374 1
S14 0.1443 0.1189 0.0076 1
# Fermi-level density of states ... 0.0 states/eV per cell
# Energy ... -1232.11 eV/cell
# Mass density ... 4.7 g/cm³

# LiTiZnGe (PBE, optimized geometry)
data_LiTiZnGe
_space_group_name_H-M_alt 'F -4 3 m'
_space_group_IT_number 216
_space_group_name_Hall 'F -4 2 3'
_cell_length_a 6.2531
_cell_length_b 6.2531
_cell_length_c 6.2531
_cell_angle_alpha 90.00
_cell_angle_beta 90.00
_cell_angle_gamma 90.00
loop_
_atom_site_label
_atom_site_fract_x
_atom_site_fract_y
_atom_site_fract_z
_atom_site_occupancy
Li1 0.0000 0.0000 0.0000 1
Ti1 0.0000 0.0000 0.5000 1
Zn1 0.2500 0.2500 0.7500 1
Ge1 0.2500 0.2500 0.2500 1
# Fermi-level density of states ... 12.7 states/eV per cell
# Energy ... -66.19 eV/cell
# Mass density ... 5.2 g/cm³
# Energy of formation ... -212 meV per atom

# AlNi2W (PBE, optimized geometry)
data_AlNi2W
_space_group_name_H-M_alt 'R -3 m'
_space_group_IT_number 166
_space_group_name_Hall '-R 3 2"'
_cell_length_a 2.7056
_cell_length_b 2.7056
_cell_length_c 24.9238
_cell_angle_alpha 90.00
_cell_angle_beta 90.00
_cell_angle_gamma 120.00
loop_
_atom_site_label
_atom_site_fract_x
_atom_site_fract_y
_atom_site_fract_z
_atom_site_occupancy
Al1 0.0000 0.0000 0.0000 1
Ni1 0.0000 0.0000 0.2543 1
W1 0.0000 0.0000 0.5000 1
# Fermi-level density of states ... 10.6 states/eV per cell
# Energy ... -85.71 eV/cell
# Mass density ... 10.3 g/cm³
# Energy of formation ... -78 meV per atom

# AgWSe2N (PBE, optimized geometry)
data_AgWSe2N
_space_group_name_H-M_alt 'P 4/m m m'
_space_group_IT_number 123
_space_group_name_Hall '-P 4 2'
_cell_length_a 5.0961
_cell_length_b 5.0961
_cell_length_c 3.8177
_cell_angle_alpha 90.00
_cell_angle_beta 90.00
_cell_angle_gamma 90.00
loop_
_atom_site_label
_atom_site_fract_x
_atom_site_fract_y
_atom_site_fract_z
_atom_site_occupancy
Ag1 0.0000 0.0000 0.0000 1
W1 0.5000 0.5000 0.5000 1
Se1 0.0000 0.5000 0.5000 1
N1 0.5000 0.5000 0.0000 1
# Fermi-level density of states ... 3.8 states/eV per cell
# Energy ... -29.82 eV/cell
# Mass density ... 7.8 g/cm³

# TcNiSeBr2 (PBE, optimized geometry)
data_TcNiSeBr2
_space_group_name_H-M_alt 'P 4/m m m'
_space_group_IT_number 123
_space_group_name_Hall '-P 4 2'
_cell_length_a 5.2408
_cell_length_b 5.2408
_cell_length_c 4.6708
_cell_angle_alpha 90.00
_cell_angle_beta 90.00
_cell_angle_gamma 90.00
loop_
_atom_site_label
_atom_site_fract_x
_atom_site_fract_y
_atom_site_fract_z
_atom_site_occupancy
Tc1 0.0000 0.0000 0.0000 1
Ni1 0.5000 0.5000 0.5000 1
Se1 0.0000 0.0000 0.5000 1
Br1 0.0000 0.5000 0.0000 1
# Fermi-level density of states ... 13.3 states/eV per cell
# Energy ... -19.34 eV/cell
# Mass density ... 5.1 g/cm³

# YZr2Fe (PBE, optimized geometry)
data_YZr2Fe
_space_group_name_H-M_alt 'C 1 2/m 1'
_space_group_IT_number 12
_cell_length_a 5.8856
_cell_length_b 10.7088
_cell_length_c 3.1523
_cell_angle_alpha 90.00
_cell_angle_beta 118.03
_cell_angle_gamma 90.00
loop_
_space_group_symop_operation_xyz
'x,y,z'
'-x,-y,-z'
'-x,y,-z'
'x,-y,z'
'x+1/2,y+1/2,z'
'-x+1/2,-y+1/2,-z'
'-x+1/2,y+1/2,-z'
'x+1/2,-y+1/2,z'
loop_
_atom_site_label
_atom_site_fract_x
_atom_site_fract_y
_atom_site_fract_z
_atom_site_occupancy
Y1 0.0000 0.0000 0.0000 1
Zr1 0.2500 0.2500 0.5000 1
Fe1 0.0000 0.5000 0.0000 1
# Fermi-level density of states ... 14.6 states/eV per cell
# Energy ... -61.15 eV/cell
# Mass density ... 6.2 g/cm³
# Energy of formation ... 362 meV per atom